La3Tb4Dy4 | PBE-GGA | optimized geometry

Computed properties:
Its energy above the most stable polymorph in this dataset is 0 meV per atom. The total energy is -100.3 eV for the cell shown.

Unit cell a=3.626 b=9.461 c=21.911 alpha=90.00 beta=90.00 gamma=90.00
Space group Immm (No. 71)
Asymmetric unit:
La  0.000  0.000  0.000
La  0.000  0.500  0.110
Tb  0.000  0.000  0.257
Tb  0.000  0.184  0.500
Dy  0.000  0.322  0.353